! AcZrNO PBE optimized geometry; values from VASP
! V, Å³/cell: 299
! Energy, eV/f.u.: -33.39
&SYSTEM
  ibrav = 0, nat = 16, ntyp = 4
/
ATOMIC_SPECIES
N 14.01 N.upf
Ac 227.00 Ac.upf
O 16.00 O.upf
Zr 91.22 Zr.upf
ATOMIC_POSITIONS angstrom
N 0.856 2.727 0.469
Ac 2.963 3.026 4.935
O 5.562 6.319 2.614
Ac 0.169 0.425 4.935
Zr 0.131 4.166 6.819
O 2.768 0.585 5.149
O 5.562 2.867 5.149
O 2.768 4.036 2.614
Zr 2.925 2.737 0.944
Zr 2.925 6.188 6.819
N 3.650 0.725 0.469
N 0.856 6.179 7.294
N 3.650 4.176 7.294
Zr 0.131 0.715 0.944
Ac 2.963 6.478 2.828
Ac 0.169 3.877 2.828
CELL_PARAMETERS angstrom
5.587 0.000 0.000
0.000 6.903 0.000
0.000 0.000 7.763